[1]
First-principles (PBE) data for ZrTlAgTeS2 after structural relaxation, as listed in the Open Quantum Materials Database.

Values from the calculation:
For the energy above the most stable polymorph in this dataset, the calculation gives 39 meV/atom. For the total magnetization, the calculation gives 0.01 μB per cell. For the total DFT energy (no corrections), the calculation gives -0.36542 Ry/atom.

Unit cell a=8.3181 b=3.9868 c=10.1154 alpha=90.00 beta=111.54 gamma=90.00
Positions (direct):
Zr: 0.1754 0.2500 0.1598
Zr: 0.8246 0.7500 0.8402
Tl: 0.2233 0.7500 0.6904
Tl: 0.7767 0.2500 0.3096
Ag: 0.4246 0.7500 0.3932
Ag: 0.5754 0.2500 0.6068
Te: 0.4212 0.7500 0.1220
Te: 0.5788 0.2500 0.8780
S: 0.0359 0.2500 0.8731
S: 0.2364 0.2500 0.4243
S: 0.7636 0.7500 0.5757
S: 0.9641 0.7500 0.1269

[2]
First-principles (PBE) data for ZrTlAgTeS2 after structural relaxation, as listed in the Open Quantum Materials Database.

Values from the calculation:
For the energy above the most stable polymorph in this dataset, the calculation gives 0 meV/atom. For the total magnetization, the calculation gives 0.01 μB per cell. For the total DFT energy (no corrections), the calculation gives -0.36830 Ry/atom.

Unit cell a=8.3367 b=3.8989 c=10.1246 alpha=90.00 beta=109.82 gamma=90.00
Positions (direct):
Zr: 0.1794 0.2500 0.1461
Zr: 0.8206 0.7500 0.8539
Tl: 0.2680 0.7500 0.7466
Tl: 0.7320 0.2500 0.2534
Ag: 0.4286 0.7500 0.3911
Ag: 0.5714 0.2500 0.6089
Te: 0.2069 0.2500 0.4435
Te: 0.7931 0.7500 0.5565
S: 0.0453 0.2500 0.8753
S: 0.3806 0.7500 0.1315
S: 0.6194 0.2500 0.8685
S: 0.9547 0.7500 0.1247

[3]
First-principles (PBE) data for Y2Ag2Te3S after structural relaxation, as listed in the Open Quantum Materials Database.

Values from the calculation:
For the total magnetization, the calculation gives 0.00 μB per cell. For the total DFT energy (no corrections), the calculation gives -0.36995 Ry/atom.

Unit cell a=7.0365 b=7.0365 c=4.5264 alpha=90.71 beta=90.71 gamma=94.14
Positions (direct):
Y: 0.0000 0.0000 0.0000
Y: 0.5466 0.5466 0.4086
Ag: 0.0122 0.5040 0.1707
Ag: 0.5040 0.0122 0.1707
Te: 0.2145 0.8040 0.4899
Te: 0.3180 0.3180 0.9053
Te: 0.8040 0.2145 0.4899
S: 0.7159 0.7159 0.9314

[4]
First-principles (PBE) data for YAgTeS after structural relaxation, as listed in the Open Quantum Materials Database.

Values from the calculation:
For the energy above the most stable polymorph in this dataset, the calculation gives 5 meV/atom. For the total magnetization, the calculation gives 0.01 μB per cell. For the total DFT energy (no corrections), the calculation gives -0.38550 Ry/atom.

Unit cell a=6.9521 b=6.9521 c=4.2933 alpha=90.00 beta=90.00 gamma=98.78
Positions (direct):
Y: 0.0000 0.0000 0.0000
Y: 0.5000 0.5000 0.4041
Ag: 0.0000 0.5000 0.2935
Ag: 0.5000 0.0000 0.2935
Te: 0.2909 0.7091 0.9098
Te: 0.7091 0.2909 0.9098
S: 0.1978 0.1978 0.4836
S: 0.8022 0.8022 0.4836

[5]
First-principles (PBE) data for YAgTeS after structural relaxation, as listed in the Open Quantum Materials Database.

Values from the calculation:
For the energy above the most stable polymorph in this dataset, the calculation gives 0 meV/atom. For the total magnetization, the calculation gives 0.01 μB per cell. For the total DFT energy (no corrections), the calculation gives -0.38583 Ry/atom.

Unit cell a=4.4010 b=6.8637 c=6.8665 alpha=90.00 beta=92.07 gamma=90.00
Positions (direct):
Y: 0.2208 0.0000 0.2923
Y: 0.7792 0.5000 0.7077
Ag: 0.0055 0.5223 0.2480
Ag: 0.9945 0.0223 0.7520
Te: 0.2955 0.7156 0.9456
Te: 0.7045 0.2156 0.0544
S: 0.2568 0.3093 0.5497
S: 0.7432 0.8093 0.4503

[6]
First-principles (PBE) data for Tl3Ag2S3 after structural relaxation, as listed in the Open Quantum Materials Database.

Values from the calculation:
For the total DFT energy (no corrections), the calculation gives -0.22713 Ry/atom.

Unit cell a=4.5389 b=4.5389 c=10.9157 alpha=90.00 beta=90.00 gamma=90.00
Positions (direct):
Tl: 0.0000 0.0000 0.0000
Tl: 0.0000 0.0000 0.5000
Tl: 0.5000 0.5000 0.0000
Ag: 0.0000 0.5000 0.7975
Ag: 0.5000 0.0000 0.2025
S: 0.5000 0.5000 0.2848
S: 0.5000 0.5000 0.5000
S: 0.5000 0.5000 0.7152

[7]
First-principles (PBE) data for TlAg3S3 after structural relaxation, as listed in the Open Quantum Materials Database.

Values from the calculation:
For the total DFT energy (no corrections), the calculation gives -0.24634 Ry/atom.

Unit cell a=7.4604 b=7.4604 c=7.4604 alpha=103.36 beta=103.36 gamma=103.36
Positions (direct):
Tl: 0.0000 0.0000 0.0000
Tl: 0.5000 0.5000 0.5000
Ag: 0.0061 0.4070 0.6736
Ag: 0.1736 0.9070 0.5061
Ag: 0.4070 0.6736 0.0061
Ag: 0.5061 0.1736 0.9070
Ag: 0.6736 0.0061 0.4070
Ag: 0.9070 0.5061 0.1736
S: 0.1513 0.7844 0.1641
S: 0.1641 0.1513 0.7844
S: 0.2844 0.6513 0.6641
S: 0.6513 0.6641 0.2844
S: 0.6641 0.2844 0.6513
S: 0.7844 0.1641 0.1513

[8]
First-principles (PBE) data for TlAg3S2 after structural relaxation, as listed in the Open Quantum Materials Database.

Values from the calculation:
For the energy above the most stable polymorph in this dataset, the calculation gives 0 meV/atom. For the total DFT energy (no corrections), the calculation gives -0.24311 Ry/atom.

Unit cell a=8.4203 b=8.9064 c=7.0492 alpha=90.00 beta=90.00 gamma=90.00
Positions (direct):
Tl: 0.0000 0.0799 0.2500
Tl: 0.0000 0.9201 0.7500
Tl: 0.5000 0.4201 0.7500
Tl: 0.5000 0.5799 0.2500
Ag: 0.0000 0.3180 0.7500
Ag: 0.0000 0.6820 0.2500
Ag: 0.1624 0.4048 0.1169
Ag: 0.1624 0.5952 0.6169
Ag: 0.3376 0.0952 0.6169
Ag: 0.3376 0.9048 0.1169
Ag: 0.5000 0.1820 0.2500
Ag: 0.5000 0.8180 0.7500
Ag: 0.6624 0.0952 0.8831
Ag: 0.6624 0.9048 0.3831
Ag: 0.8376 0.4048 0.3831
Ag: 0.8376 0.5952 0.8831
S: 0.1840 0.3251 0.4832
S: 0.1840 0.6749 0.9832
S: 0.3160 0.1749 0.9832
S: 0.3160 0.8251 0.4832
S: 0.6840 0.1749 0.5168
S: 0.6840 0.8251 0.0168
S: 0.8160 0.3251 0.0168
S: 0.8160 0.6749 0.5168

Question: Among the records above, which one has the highest total DFT energy (no corrections)?
Answer: Tl3Ag2S3